Density functional theory data (GGA+U) for an optimized crystal structure of RbErCoO3.

Structure (CIF):
```
data_RbErCoO3
_symmetry_space_group_name_H-M 'P 1 21/m 1'
_symmetry_Int_Tables_number 11
_symmetry_space_group_name_Hall '-P 2yb'
_cell_length_a 7.663
_cell_length_b 3.525
_cell_length_c 8.976
_cell_angle_alpha 90.00
_cell_angle_beta 110.59
_cell_angle_gamma 90.00
loop_
_atom_site_label
_atom_site_fract_x
_atom_site_fract_y
_atom_site_fract_z
Rb1 0.207 0.250 0.196
Er1 0.335 0.750 0.860
Co1 0.058 0.250 0.619
O1 0.132 0.250 0.848
O2 0.164 0.750 0.583
O3 0.470 0.750 0.122
```

Summary:
The calculation puts the total energy at -76.385 eV for the cell shown.